Entry 1:
A plane-wave DFT calculation with PBE was carried out for TbTl2In after structural relaxation.

Calculated values
relative energy among the computed polymorphs: 0.181 eV per atom
formation energy: -0.47 eV/f.u.
D(E_F): 0.43 states/eV per atom

Unit cell a=5.394 b=5.394 c=5.394 alpha=60.00 beta=60.00 gamma=60.00
Sites, in units of the cell vectors:
1 Tb 0.000 0.000 0.000
2 Tl 0.250 0.250 0.250
3 Tl 0.750 0.750 0.750
4 In 0.500 0.500 0.500

---

Entry 2:
A plane-wave DFT calculation with PBE was carried out for Tb4Tl5In after structural relaxation.

Calculated values
relative energy among the computed polymorphs: 0.264 eV per atom
formation energy: -0.56 eV/f.u.
D(E_F): 0.80 states/eV per atom

Unit cell a=7.597 b=10.331 c=7.753 alpha=90.00 beta=90.00 gamma=90.00
Sites, in units of the cell vectors:
1 Tb 0.001 0.250 0.200
2 Tb 0.250 0.065 0.519
3 Tb 0.250 0.435 0.519
4 Tb 0.499 0.250 0.200
5 Tb 0.501 0.750 0.800
6 Tb 0.750 0.565 0.481
7 Tb 0.750 0.935 0.481
8 Tb 0.999 0.750 0.800
9 Tl 0.051 0.556 0.184
10 Tl 0.051 0.944 0.184
11 Tl 0.250 0.250 0.882
12 Tl 0.449 0.556 0.184
13 Tl 0.449 0.944 0.184
14 Tl 0.551 0.056 0.816
15 Tl 0.551 0.444 0.816
16 Tl 0.750 0.750 0.118
17 Tl 0.949 0.056 0.816
18 Tl 0.949 0.444 0.816
19 In 0.250 0.750 0.468
20 In 0.750 0.250 0.532

---

Entry 3:
A plane-wave DFT calculation with PBE was carried out for Tb12Tl2In5 after structural relaxation.

Calculated values
formation energy: -2.83 eV/f.u.
D(E_F): 1.16 states/eV per atom

Unit cell a=9.739 b=9.739 c=9.191 alpha=91.57 beta=91.57 gamma=41.88
Sites, in units of the cell vectors:
1 Tb 0.016 0.016 0.310
2 Tb 0.087 0.584 0.063
3 Tb 0.100 0.601 0.475
4 Tb 0.399 0.900 0.525
5 Tb 0.416 0.913 0.937
6 Tb 0.433 0.433 0.790
7 Tb 0.567 0.567 0.210
8 Tb 0.584 0.087 0.063
9 Tb 0.601 0.100 0.475
10 Tb 0.900 0.399 0.525
11 Tb 0.913 0.416 0.937
12 Tb 0.984 0.984 0.690
13 Tl 0.211 0.789 0.000
14 Tl 0.789 0.211 0.000
15 In 0.209 0.209 0.248
16 In 0.265 0.265 0.735
17 In 0.500 0.500 0.500
18 In 0.735 0.735 0.265
19 In 0.791 0.791 0.752

---

Entry 4:
A plane-wave DFT calculation with PBE was carried out for Tb5TlIn4 after structural relaxation.

Calculated values
formation energy: -4.52 eV/f.u.
D(E_F): 0.61 states/eV per atom

Unit cell a=3.760 b=3.760 c=19.129 alpha=90.00 beta=90.00 gamma=90.00
Sites, in units of the cell vectors:
1 Tb 0.000 0.000 0.000
2 Tb 0.000 0.000 0.198
3 Tb 0.000 0.000 0.398
4 Tb 0.000 0.000 0.602
5 Tb 0.000 0.000 0.802
6 Tl 0.500 0.500 0.500
7 In 0.500 0.500 0.099
8 In 0.500 0.500 0.298
9 In 0.500 0.500 0.702
10 In 0.500 0.500 0.901

---

Entry 5:
A plane-wave DFT calculation with PBE was carried out for Tb6TlIn5 after structural relaxation.

Calculated values
relative energy among the computed polymorphs: 0.000 eV per atom
formation energy: -5.47 eV/f.u.
D(E_F): 0.47 states/eV per atom

Unit cell a=8.471 b=8.471 c=7.519 alpha=90.00 beta=90.00 gamma=143.15
Sites, in units of the cell vectors:
1 Tb 0.000 0.000 0.249
2 Tb 0.000 0.000 0.751
3 Tb 0.333 0.667 0.249
4 Tb 0.333 0.667 0.751
5 Tb 0.667 0.333 0.249
6 Tb 0.667 0.333 0.751
7 Tl 0.500 0.500 0.500
8 In 0.166 0.834 0.000
9 In 0.167 0.833 0.500
10 In 0.500 0.500 0.000
11 In 0.833 0.167 0.500
12 In 0.834 0.166 0.000

---

Entry 6:
A plane-wave DFT calculation with PBE was carried out for TbTl3In after structural relaxation.

Calculated values
formation energy: -0.05 eV/f.u.
D(E_F): 0.68 states/eV per atom

Unit cell a=4.696 b=6.560 c=9.904 alpha=90.00 beta=90.00 gamma=90.00
Sites, in units of the cell vectors:
1 Tb 0.250 0.250 0.095
2 Tb 0.750 0.750 0.905
3 Tl 0.250 0.501 0.730
4 Tl 0.250 0.750 0.111
5 Tl 0.250 0.999 0.730
6 Tl 0.750 0.001 0.270
7 Tl 0.750 0.250 0.889
8 Tl 0.750 0.499 0.270
9 In 0.250 0.750 0.446
10 In 0.750 0.250 0.554

---

Entry 7:
A plane-wave DFT calculation with PBE was carried out for TbTlIn4 after structural relaxation.

Calculated values
formation energy: -0.54 eV/f.u.
D(E_F): 0.82 states/eV per atom

Unit cell a=6.140 b=6.140 c=6.140 alpha=60.00 beta=60.00 gamma=60.00
Sites, in units of the cell vectors:
1 Tb 0.000 0.000 0.000
2 Tl 0.250 0.250 0.250
3 In 0.125 0.625 0.625
4 In 0.625 0.125 0.625
5 In 0.625 0.625 0.125
6 In 0.625 0.625 0.625

---

Entry 8:
A plane-wave DFT calculation with PBE was carried out for TbTlIn2 after structural relaxation.

Calculated values
formation energy: -0.76 eV/f.u.
D(E_F): 0.69 states/eV per atom

Unit cell a=3.854 b=3.854 c=7.363 alpha=90.00 beta=90.00 gamma=90.00
Sites, in units of the cell vectors:
1 Tb 0.000 0.000 0.000
2 Tl 0.000 0.000 0.500
3 In 0.500 0.500 0.253
4 In 0.500 0.500 0.747